Run w
First-principles (PBE-GGA) data for an optimized crystal structure of CsTaBi3, as listed in the Alexandria database.

```
data_CsTaBi3
_cell_length_a 5.660
_cell_length_b 5.660
_cell_length_c 5.660
_cell_angle_alpha 90.00
_cell_angle_beta 90.00
_cell_angle_gamma 90.00
_symmetry_space_group_name_H-M 'P m -3 m'
_symmetry_Int_Tables_number 221
_symmetry_space_group_name_Hall '-P 4 2 3'
loop_
_atom_site_label
_atom_site_type_symbol
_atom_site_fract_x
_atom_site_fract_y
_atom_site_fract_z
Cs1 Cs 0.000 0.000 0.000
Ta1 Ta 0.500 0.500 0.500
Bi1 Bi 0.000 0.500 0.500
```

---

Run x
First-principles (PBE-GGA) data for an optimized crystal structure of CsTaBi3, as listed in the Alexandria database.

```
data_CsTaBi3
_cell_length_a 6.000
_cell_length_b 6.000
_cell_length_c 6.000
_cell_angle_alpha 90.00
_cell_angle_beta 90.00
_cell_angle_gamma 90.00
_symmetry_space_group_name_H-M 'P m -3 m'
_symmetry_Int_Tables_number 221
_symmetry_space_group_name_Hall '-P 4 2 3'
loop_
_atom_site_label
_atom_site_type_symbol
_atom_site_fract_x
_atom_site_fract_y
_atom_site_fract_z
Cs1 Cs 0.000 0.000 0.000
Ta1 Ta 0.500 0.500 0.500
Bi1 Bi 0.000 0.000 0.500
```

---

It turns out run w is the most stable, with the second structure 218.0 kJ/mol of atoms higher.